Record 1
Here is an optimized crystal structure of ZrMnAg2N from the Alexandria database. Energies are from PBEsol.

Values from the calculation:
SG: No. 123
Mass density in g cm⁻³: 5.0
E in eV/atom: -4.36

Cell: 5.248 5.248 4.499 Å, 90.00 90.00 90.00°
Fractional positions:
Zr: 0.000 0.000 0.000
Mn: 0.000 0.000 0.500
Ag: 0.000 0.500 0.000
Ag: 0.500 0.000 0.000
N: 0.500 0.500 0.500



Record 2
Here is an optimized crystal structure of CaAl2In from the Alexandria database. Energies are from PBEsol.

Values from the calculation:
SG: No. 8
Mass density in g cm⁻³: 3.8
Energy of formation in meV/atom: -88

Cell: 4.922 4.922 5.855 Å, 101.01 101.01 41.39°
Fractional positions:
Ca: 0.000 0.000 0.000
Al: 0.494 0.494 0.475
Al: 0.760 0.760 0.297
In: 0.238 0.238 0.699